Computed, not measured: LaNdBiSb after structural relaxation at the PBE-GGA level of DFT.

## Properties
**M_tot**: 0.000 μB per cell
**Raw formation energy**: -1.110 eV per atom
**Crystal system**: tetragonal
**Space-group type**: No. 123

a = 4.621 Å, b = 4.620 Å, c = 6.521 Å
α = 90.00°, β = 90.00°, γ = 90.00°
Element x y z (fractional)
1 Nd 0.000 0.892 0.592
2 La 0.500 0.391 0.093
3 Sb 0.500 0.392 0.593
4 Bi 0.000 0.891 0.092